[1]
Density functional theory data (PBE) for RbOsAu after structural relaxation.

a = 5.3163 Å, b = 5.3163 Å, c = 5.3163 Å
α = 60.00°, β = 60.00°, γ = 60.00°
Element x y z (fractional)
1 Au 0.2500 0.2500 0.2500
2 Rb 0.0000 0.0000 0.0000
3 Os 0.7500 0.7500 0.7500

Results
- Theoretical density: 7387 kg/m³
- ΔE to the lowest computed polymorph: 0.619 eV per atom
- Crystal system: cubic

---

[2]
Density functional theory data (PBE) for RbOsAu after structural relaxation.

a = 4.7980 Å, b = 4.7980 Å, c = 4.7980 Å
α = 60.00°, β = 60.00°, γ = 60.00°
Element x y z (fractional)
1 Os 0.0000 0.0000 0.0000
2 Rb 0.7500 0.7500 0.7500
3 Au 0.2500 0.2500 0.2500

Results
- Theoretical density: 10049 kg/m³
- ΔE to the lowest computed polymorph: 0.000 eV per atom
- Crystal system: cubic

---

[3]
Density functional theory data (PBE) for RbOsAuSe2S after structural relaxation.

a = 8.2296 Å, b = 8.2296 Å, c = 9.8189 Å
α = 90.00°, β = 90.00°, γ = 152.81°
Element x y z (fractional)
1 Os 0.0000 0.0000 0.0000
2 Os 0.0000 0.0000 0.5000
3 Au 0.5717 0.4283 0.2500
4 Au 0.4283 0.5717 0.7500
5 S 0.9493 0.0507 0.2500
6 S 0.0507 0.9493 0.7500
7 Se 0.3970 0.6030 0.9942
8 Se 0.3970 0.6030 0.5058
9 Se 0.6030 0.3970 0.4942
10 Se 0.6030 0.3970 0.0058
11 Rb 0.2540 0.7460 0.2500
12 Rb 0.7460 0.2540 0.7500

Results
- Total energy: -4.502 eV/atom
- Theoretical density: 7243 kg/m³
- Crystal system: orthorhombic

---

[4]
Density functional theory data (PBE) for RbTeOsAuS2 after structural relaxation.

a = 8.9932 Å, b = 8.9932 Å, c = 10.3960 Å
α = 90.00°, β = 90.00°, γ = 157.65°
Element x y z (fractional)
1 Au 0.1070 0.8930 0.2500
2 Au 0.8930 0.1070 0.7500
3 S 0.9063 0.0937 0.9739
4 S 0.9063 0.0937 0.5261
5 S 0.0937 0.9063 0.4739
6 S 0.0937 0.9063 0.0261
7 Te 0.4478 0.5522 0.2500
8 Te 0.5522 0.4478 0.7500
9 Rb 0.2306 0.7694 0.7500
10 Rb 0.7694 0.2306 0.2500
11 Os 0.5000 0.5000 0.5000
12 Os 0.5000 0.5000 0.0000

Results
- Total energy: -4.657 eV/atom
- Theoretical density: 6901 kg/m³
- Crystal system: orthorhombic

---

[5]
Density functional theory data (PBE) for RbTe2OsAuS after structural relaxation.

a = 8.5812 Å, b = 8.5812 Å, c = 10.0490 Å
α = 90.00°, β = 90.00°, γ = 152.62°
Element x y z (fractional)
1 Te 0.1078 0.8921 0.4965
2 Te 0.8921 0.1078 0.5035
3 Te 0.8921 0.1078 0.9965
4 Te 0.1078 0.8921 0.0035
5 Rb 0.2653 0.7347 0.7500
6 Rb 0.7347 0.2653 0.2500
7 S 0.5463 0.4537 0.7500
8 S 0.4537 0.5463 0.2500
9 Os 0.5000 0.5000 0.5000
10 Os 0.5000 0.5000 0.0000
11 Au 0.0524 0.9476 0.2500
12 Au 0.9476 0.0524 0.7500

Results
- Total energy: -4.289 eV/atom
- Theoretical density: 7416 kg/m³
- Crystal system: orthorhombic

---

[6]
Density functional theory data (PBE) for RbTe2OsAuSe after structural relaxation.

a = 8.4827 Å, b = 8.4827 Å, c = 10.3988 Å
α = 90.00°, β = 90.00°, γ = 152.27°
Element x y z (fractional)
1 Se 0.0541 0.9459 0.2500
2 Se 0.9459 0.0541 0.7500
3 Au 0.5583 0.4417 0.7500
4 Au 0.4417 0.5583 0.2500
5 Rb 0.7621 0.2379 0.2500
6 Rb 0.2379 0.7621 0.7500
7 Te 0.6078 0.3922 0.9914
8 Te 0.6078 0.3922 0.5086
9 Te 0.3922 0.6078 0.0086
10 Te 0.3922 0.6078 0.4914
11 Os 0.0000 0.0000 0.5000
12 Os 0.0000 0.0000 0.0000

Results
- Total energy: -4.234 eV/atom
- Theoretical density: 7697 kg/m³
- Crystal system: orthorhombic

---

[7]
Density functional theory data (PBE) for RbTeOsAuSe2 after structural relaxation.

a = 8.6007 Å, b = 8.6007 Å, c = 10.4521 Å
α = 90.00°, β = 90.00°, γ = 154.24°
Element x y z (fractional)
1 Os 0.0000 0.0000 0.0000
2 Os 0.0000 0.0000 0.5000
3 Se 0.4012 0.5988 0.4855
4 Se 0.5988 0.4012 0.5145
5 Se 0.4012 0.5988 0.0145
6 Se 0.5988 0.4012 0.9855
7 Au 0.5847 0.4153 0.7500
8 Au 0.4153 0.5847 0.2500
9 Te 0.0568 0.9432 0.2500
10 Te 0.9432 0.0568 0.7500
11 Rb 0.2523 0.7477 0.7500
12 Rb 0.7477 0.2523 0.2500

Results
- Total energy: -4.394 eV/atom
- Theoretical density: 7494 kg/m³
- Crystal system: orthorhombic

---

[8]
Density functional theory data (PBE) for RbTe3OsAu after structural relaxation.

a = 4.0589 Å, b = 8.5207 Å, c = 10.7674 Å
α = 90.00°, β = 90.00°, γ = 76.22°
Element x y z (fractional)
1 Au 0.5661 0.8677 0.2500
2 Au 0.4339 0.1323 0.7500
3 Rb 0.7595 0.4809 0.7500
4 Rb 0.2405 0.5191 0.2500
5 Os 0.0000 0.0000 0.5000
6 Os 0.0000 0.0000 0.0000
7 Te 0.9420 0.1160 0.2500
8 Te 0.0580 0.8840 0.7500
9 Te 0.3926 0.2148 0.5133
10 Te 0.3926 0.2148 0.9867
11 Te 0.6074 0.7852 0.0133
12 Te 0.6074 0.7852 0.4867

Results
- Total energy: -4.209 eV/atom
- Theoretical density: 7855 kg/m³
- Crystal system: orthorhombic

---

[9]
Density functional theory data (PBE) for Os3AuS5 after structural relaxation.

a = 5.6214 Å, b = 5.6214 Å, c = 6.5244 Å
α = 90.00°, β = 90.00°, γ = 120.00°
Element x y z (fractional)
1 S 0.0000 0.0000 0.5000
2 S 0.3333 0.6667 0.2423
3 S 0.6667 0.3333 0.7577
4 S 0.3333 0.6667 0.7577
5 S 0.6667 0.3333 0.2423
6 Os 0.5000 0.0000 0.5000
7 Os 0.0000 0.5000 0.5000
8 Os 0.5000 0.5000 0.5000
9 Au 0.0000 0.0000 0.0000

Results
- Total energy: -6.017 eV/atom
- Theoretical density: 8630 kg/m³
- Crystal system: hexagonal

---

[10]
Density functional theory data (PBE) for TlTeOsAuS2 after structural relaxation.

a = 8.0391 Å, b = 8.0391 Å, c = 10.2564 Å
α = 90.00°, β = 90.00°, γ = 154.10°
Element x y z (fractional)
1 S 0.1007 0.8993 0.0238
2 S 0.8993 0.1007 0.5238
3 S 0.8993 0.1007 0.9762
4 S 0.1007 0.8993 0.4762
5 Au 0.8671 0.1329 0.7500
6 Au 0.1329 0.8671 0.2500
7 Te 0.4515 0.5485 0.2500
8 Te 0.5485 0.4515 0.7500
9 Os 0.5000 0.5000 0.0000
10 Os 0.5000 0.5000 0.5000
11 Tl 0.2167 0.7832 0.7500
12 Tl 0.7832 0.2167 0.2500

Results
- Total energy: -4.717 eV/atom
- Theoretical density: 8984 kg/m³
- Crystal system: orthorhombic

---

[11]
Density functional theory data (PBE) for TlOsAuS3 after structural relaxation.

a = 7.7702 Å, b = 7.7702 Å, c = 9.3398 Å
α = 90.00°, β = 90.00°, γ = 152.63°
Element x y z (fractional)
1 S 0.4000 0.6000 0.4775
2 S 0.9584 0.0416 0.7500
3 S 0.6000 0.4000 0.9775
4 S 0.0416 0.9584 0.2500
5 S 0.4000 0.6000 0.0225
6 S 0.6000 0.4000 0.5225
7 Tl 0.6849 0.3151 0.2500
8 Tl 0.3151 0.6849 0.7500
9 Au 0.3364 0.6636 0.2500
10 Au 0.6636 0.3364 0.7500
11 Os 0.0000 0.0000 0.0000
12 Os 0.0000 0.0000 0.5000

Results
- Total energy: -4.945 eV/atom
- Theoretical density: 8810 kg/m³
- Crystal system: orthorhombic

---

[12]
Density functional theory data (PBE) for SbOsAu2 after structural relaxation.

a = 4.6656 Å, b = 4.6656 Å, c = 4.6656 Å
α = 60.00°, β = 60.00°, γ = 60.00°
Element x y z (fractional)
1 Os 0.2500 0.2500 0.2500
2 Sb 0.5000 0.5000 0.5000
3 Au 0.7500 0.7500 0.7500
4 Au 0.0000 0.0000 0.0000

Results
- Total energy: -4.912 eV/atom
- Theoretical density: 16323 kg/m³
- Crystal system: cubic

---

[13]
Density functional theory data (PBE) for ScOsAu after structural relaxation.

a = 3.3429 Å, b = 3.3429 Å, c = 9.2263 Å
α = 90.00°, β = 90.00°, γ = 90.00°
Element x y z (fractional)
1 Au 0.0000 0.5000 0.0909
2 Au 0.5000 0.0000 0.9091
3 Os 0.5000 0.0000 0.5660
4 Os 0.0000 0.5000 0.4340
5 Sc 0.0000 0.5000 0.7499
6 Sc 0.5000 0.0000 0.2501

Results
- Calculated formation energy: -0.2413 eV/atom
- Theoretical density: 13920 kg/m³
- ΔE to the lowest computed polymorph: 0.000 eV per atom
- Crystal system: tetragonal

---

[14]
Density functional theory data (PBE) for ScOsAu after structural relaxation.

a = 5.1769 Å, b = 5.1769 Å, c = 5.1769 Å
α = 142.35°, β = 142.35°, γ = 54.31°
Element x y z (fractional)
1 Sc 0.9913 0.9913 0.0000
2 Os 0.3417 0.3417 0.0000
3 Au 0.6670 0.6670 0.0000

Results
- Calculated formation energy: -0.0250 eV/atom
- Theoretical density: 13955 kg/m³
- ΔE to the lowest computed polymorph: 0.216 eV per atom
- Crystal system: tetragonal

---

[15]
Density functional theory data (PBE) for Sc2Os3Au after structural relaxation.

a = 3.2294 Å, b = 3.2294 Å, c = 9.5531 Å
α = 90.00°, β = 90.00°, γ = 90.00°
Element x y z (fractional)
1 Sc 0.5000 0.5000 0.9974
2 Sc 0.0000 0.0000 0.4941
3 Os 0.5000 0.5000 0.6680
4 Os 0.5000 0.5000 0.3537
5 Os 0.0000 0.0000 0.8098
6 Au 0.0000 0.0000 0.1770

Results
- Calculated formation energy: 0.0274 eV/atom
- Theoretical density: 14293 kg/m³
- Crystal system: tetragonal

---

[16]
Density functional theory data (PBE) for ScOsAu after structural relaxation.

a = 3.4353 Å, b = 3.4353 Å, c = 8.7791 Å
α = 90.00°, β = 90.00°, γ = 90.00°
Element x y z (fractional)
1 Os 0.5000 0.5000 0.6463
2 Os 0.5000 0.5000 0.3537
3 Sc 0.5000 0.5000 0.0000
4 Sc 0.0000 0.0000 0.5000
5 Au 0.0000 0.0000 0.8272
6 Au 0.0000 0.0000 0.1728

Results
- Calculated formation energy: -0.0561 eV/atom
- Theoretical density: 13853 kg/m³
- ΔE to the lowest computed polymorph: 0.185 eV per atom
- Crystal system: tetragonal

---

[17]
Density functional theory data (PBE) for Os3AuSe5 after structural relaxation.

a = 5.6814 Å, b = 5.6814 Å, c = 6.9977 Å
α = 90.00°, β = 90.00°, γ = 120.00°
Element x y z (fractional)
1 Os 0.5000 0.0000 0.5000
2 Os 0.5000 0.5000 0.5000
3 Os 0.0000 0.5000 0.5000
4 Se 0.0000 0.0000 0.5000
5 Se 0.3333 0.6667 0.7642
6 Se 0.6667 0.3333 0.7642
7 Se 0.6667 0.3333 0.2358
8 Se 0.3333 0.6667 0.2358
9 Au 0.0000 0.0000 0.0000

Results
- Total energy: -5.654 eV/atom
- Theoretical density: 9868 kg/m³
- Crystal system: hexagonal

---

[18]
Density functional theory data (PBE) for TlTeOsAuSe2 after structural relaxation.

a = 7.7975 Å, b = 7.7975 Å, c = 10.4211 Å
α = 90.00°, β = 90.00°, γ = 152.08°
Element x y z (fractional)
1 Au 0.8569 0.1431 0.7500
2 Au 0.1431 0.8569 0.2500
3 Te 0.4597 0.5403 0.2500
4 Te 0.5403 0.4597 0.7500
5 Se 0.8887 0.1113 0.9842
6 Se 0.1113 0.8887 0.0158
7 Se 0.8887 0.1113 0.5158
8 Se 0.1113 0.8887 0.4842
9 Tl 0.2102 0.7898 0.7500
10 Tl 0.7898 0.2102 0.2500
11 Os 0.5000 0.5000 0.5000
12 Os 0.5000 0.5000 0.0000

Results
- Total energy: -4.475 eV/atom
- Theoretical density: 9818 kg/m³
- Crystal system: orthorhombic

---

[19]
Density functional theory data (PBE) for Si5Os3Au after structural relaxation.

a = 5.3742 Å, b = 5.3742 Å, c = 6.0848 Å
α = 90.00°, β = 90.00°, γ = 120.00°
Element x y z (fractional)
1 Os 0.5000 0.0000 0.5000
2 Os 0.0000 0.5000 0.5000
3 Os 0.5000 0.5000 0.5000
4 Si 0.6667 0.3333 0.8098
5 Si 0.3333 0.6667 0.1902
6 Si 0.6667 0.3333 0.1902
7 Si 0.3333 0.6667 0.8098
8 Si 0.0000 0.0000 0.5000
9 Au 0.0000 0.0000 0.0000

Results
- Total energy: -6.849 eV/atom
- Theoretical density: 9908 kg/m³
- Crystal system: hexagonal

---

[20]
Density functional theory data (PBE) for SiOsAu2 after structural relaxation.

a = 4.4825 Å, b = 4.4825 Å, c = 4.4825 Å
α = 60.00°, β = 60.00°, γ = 60.00°
Element x y z (fractional)
1 Au 0.0000 0.0000 0.0000
2 Au 0.7500 0.7500 0.7500
3 Os 0.2500 0.2500 0.2500
4 Si 0.5000 0.5000 0.5000

Results
- Total energy: -5.321 eV/atom
- Theoretical density: 15964 kg/m³
- Crystal system: cubic

---

[21]
Density functional theory data (PBE) for SiOsAu after structural relaxation.

a = 4.0818 Å, b = 4.0818 Å, c = 4.0818 Å
α = 60.00°, β = 60.00°, γ = 60.00°
Element x y z (fractional)
1 Si 0.0000 0.0000 0.0000
2 Au 0.2500 0.2500 0.2500
3 Os 0.7500 0.7500 0.7500

Results
- Total energy: -6.545 eV/atom
- Theoretical density: 14340 kg/m³
- Crystal system: cubic

---

[22]
Density functional theory data (PBE) for SrSi2OsAu after structural relaxation.

a = 6.0459 Å, b = 6.0459 Å, c = 6.0459 Å
α = 139.26°, β = 139.26°, γ = 58.98°
Element x y z (fractional)
1 Si 0.6226 0.6226 0.0000
2 Si 0.3774 0.3774 0.0000
3 Os 0.7500 0.2500 0.5000
4 Sr 0.0000 0.0000 0.0000
5 Au 0.2500 0.7500 0.5000

Results
- Total energy: -5.758 eV/atom
- Theoretical density: 9457 kg/m³
- Crystal system: tetragonal

---

[23]
Density functional theory data (PBE) for YSi2OsAu after structural relaxation.

a = 5.9189 Å, b = 5.9189 Å, c = 5.9189 Å
α = 139.56°, β = 139.56°, γ = 58.52°
Element x y z (fractional)
1 Si 0.6366 0.1366 0.5000
2 Si 0.8634 0.3634 0.5000
3 Au 0.5000 0.5000 0.0000
4 Y 0.2500 0.7500 0.5000
5 Os 0.0000 0.0000 0.0000

Results
- Total energy: -6.889 eV/atom
- Theoretical density: 10227 kg/m³
- Crystal system: tetragonal

---

[24]
Density functional theory data (PBE) for SmOsAu after structural relaxation.

a = 4.6805 Å, b = 4.6805 Å, c = 4.6805 Å
α = 60.00°, β = 60.00°, γ = 60.00°
Element x y z (fractional)
1 Sm 0.0000 0.0000 0.0000
2 Os 0.7500 0.7500 0.7500
3 Au 0.2500 0.2500 0.2500

Results
- Calculated formation energy: 0.8375 eV/atom
- Theoretical density: 12311 kg/m³
- Crystal system: cubic

---

[25]
Density functional theory data (PBE) for SnOsAu after structural relaxation.

a = 4.4470 Å, b = 4.4470 Å, c = 4.4470 Å
α = 60.00°, β = 60.00°, γ = 60.00°
Element x y z (fractional)
1 Au 0.2500 0.2500 0.2500
2 Sn 0.7500 0.7500 0.7500
3 Os 0.0000 0.0000 0.0000

Results
- Theoretical density: 13509 kg/m³
- ΔE to the lowest computed polymorph: 0.000 eV per atom
- Crystal system: cubic

---

no.,V (Å³/cell)
1,106
2,78
3,304
4,320
5,340
6,348
7,336
8,362
9,179
10,290
11,259
12,72
13,103
14,51
15,100
16,104
17,196
18,297
19,152
20,64
21,48
22,93
23,86
24,73
25,62